# 1
# La2CdPt

La2CdPt after structural relaxation (PBE, the Alexandria database).

Lattice parameters (Å, degrees): 4.0780 4.0780 26.4144 90.00 90.00 120.00
Space group R3m (No. 160, hexagonal axes)
Asymmetric unit:
La (0.0000, 0.0000, 0.0000) (multiplicity 3)
La (0.0000, 0.0000, 0.2080) (multiplicity 3)
Cd (0.0000, 0.0000, 0.4509) (multiplicity 3)
Pt (0.0000, 0.0000, 0.7288) (multiplicity 3)

Results
ΔE_f (eV/atom): -0.354


# 2
# La23Cd4Pt7

La23Cd4Pt7 after structural relaxation (PBE, the Alexandria database).

Lattice parameters (Å, degrees): 10.2547 10.2547 23.2803 90.00 90.00 120.00
Space group P6_3mc (No. 186)
Asymmetric unit:
La (0.0000, 0.0000, 0.0024) (multiplicity 2)
La (0.0780, 0.5390, 0.0933) (multiplicity 6)
La (0.0845, 0.5422, 0.3639) (multiplicity 6)
La (0.1283, 0.2565, 0.6437) (multiplicity 6)
La (0.1990, 0.3980, 0.7925) (multiplicity 6)
La (0.2049, 0.4098, 0.9538) (multiplicity 6)
La (0.2055, 0.4111, 0.2285) (multiplicity 6)
La (0.2112, 0.4224, 0.5000) (multiplicity 6)
La (0.3333, 0.6667, 0.6536) (multiplicity 2)
Cd (0.0000, 0.0000, 0.2567) (multiplicity 2)
Cd (0.1069, 0.2137, 0.3719) (multiplicity 6)
Pt (0.0426, 0.5213, 0.7214) (multiplicity 6)
Pt (0.1425, 0.2850, 0.0716) (multiplicity 6)
Pt (0.3333, 0.6667, 0.8704) (multiplicity 2)

Results
ΔE_f (eV/atom): -0.631


# 3
# La2CdPt

La2CdPt after structural relaxation (PBE, the Alexandria database).

Lattice parameters (Å, degrees): 8.375 8.375 6.936 90.00 90.00 90.00
Space group I-42d (No. 122)
Asymmetric unit:
La (0.201, 0.250, 0.125) (multiplicity 8)
Cd (0.000, 0.000, 0.500) (multiplicity 4)
Pt (0.000, 0.000, 0.000) (multiplicity 4)

Results
ΔE_f (eV/atom): -0.456


# 4
# La6Cd2Pt

La6Cd2Pt after structural relaxation (PBE, the Alexandria database).

Lattice parameters (Å, degrees): 9.1776 9.1776 3.8836 90.00 90.00 120.00
Space group P-62m (No. 189)
Asymmetric unit:
La (0.0000, 0.3994, 0.0000) (multiplicity 3)
La (0.0000, 0.7547, 0.5000) (multiplicity 3)
Cd (0.3333, 0.6667, 0.5000) (multiplicity 2)
Pt (0.0000, 0.0000, 0.0000) (multiplicity 1)

Results
ΔE_f (eV/atom): -0.424